1.
Material: Nb2CdRu2
Method: DFT, PBE-GGA
State: relaxed

Unit cell a=7.7522 b=7.7522 c=2.9523 alpha=90.00 beta=90.00 gamma=90.00
Fractional positions:
1 Ru 0.1474 0.6474 0.5000
2 Ru 0.6474 0.8526 0.5000
3 Ru 0.8526 0.3526 0.5000
4 Ru 0.3526 0.1474 0.5000
5 Nb 0.3549 0.8549 0.0000
6 Nb 0.8549 0.6451 0.0000
7 Nb 0.6451 0.1451 0.0000
8 Nb 0.1451 0.3549 0.0000
9 Cd 0.0000 0.0000 0.0000
10 Cd 0.5000 0.5000 0.0000

Properties
- magnetic moment (μB/cell) = 0.000
- formation energy (eV per atom) = 0.07
- total DFT energy (no corrections) (eV/atom) = -7.853


2.
Material: NbCd2Ru
Method: DFT, PBE-GGA
State: relaxed

Unit cell a=7.7203 b=7.7203 c=6.0704 alpha=50.51 beta=50.51 gamma=90.00
Fractional positions:
1 Ru 0.0000 0.0000 0.0000
2 Ru 0.7500 0.2500 0.5000
3 Nb 0.5000 0.5000 0.0000
4 Nb 0.2500 0.7500 0.5000
5 Cd 0.6450 0.1250 0.2500
6 Cd 0.1050 0.6250 0.2500
7 Cd 0.3750 0.3550 0.7500
8 Cd 0.8750 0.8950 0.7500

Properties
- magnetic moment (μB/cell) = 0.891
- formation energy (eV per atom) = 0.74
- total DFT energy (no corrections) (eV/atom) = -4.554


3.
Material: NbCd2Ru
Method: DFT, PBE-GGA
State: relaxed

Unit cell a=4.6515 b=4.6515 c=4.6515 alpha=60.00 beta=60.00 gamma=60.00
Fractional positions:
1 Ru 0.5000 0.5000 0.5000
2 Nb 0.0000 0.0000 0.0000
3 Cd 0.2500 0.2500 0.2500
4 Cd 0.7500 0.7500 0.7500

Properties
- magnetic moment (μB/cell) = 0.000
- formation energy (eV per atom) = 0.43
- total DFT energy (no corrections) (eV/atom) = -4.864


4.
Material: Nb2CdRu2
Method: DFT, PBE-GGA
State: relaxed

Unit cell a=7.5821 b=7.5821 c=3.0363 alpha=90.00 beta=90.00 gamma=90.00
Fractional positions:
1 Ru 0.3613 0.8613 0.0000
2 Ru 0.8613 0.6387 0.0000
3 Ru 0.6387 0.1387 0.0000
4 Ru 0.1387 0.3613 0.0000
5 Nb 0.1576 0.6576 0.5000
6 Nb 0.6576 0.8424 0.5000
7 Nb 0.8424 0.3424 0.5000
8 Nb 0.3424 0.1576 0.5000
9 Cd 0.0000 0.0000 0.0000
10 Cd 0.5000 0.5000 0.0000

Properties
- magnetic moment (μB/cell) = 0.000
- formation energy (eV per atom) = -0.07
- total DFT energy (no corrections) (eV/atom) = -7.990


5.
Material: NbCdRu3
Method: DFT, PBE-GGA
State: relaxed

Unit cell a=4.7344 b=4.7344 c=4.7344 alpha=90.00 beta=90.00 gamma=90.00
Fractional positions:
1 Ru 0.0000 0.5000 0.0000
2 Ru 0.0000 0.0000 0.5000
3 Ru 0.5000 0.0000 0.0000
4 Nb 0.0000 0.0000 0.0000
5 Cd 0.5000 0.5000 0.5000

Properties
- magnetic moment (μB/cell) = 2.411
- formation energy (eV per atom) = 1.35
- total DFT energy (no corrections) (eV/atom) = -6.413


6.
Material: NbCdSbRu2
Method: DFT, PBE-GGA
State: relaxed

Unit cell a=4.8102 b=5.0025 c=4.8102 alpha=90.00 beta=90.00 gamma=90.00
Fractional positions:
1 Sb 0.0000 0.5000 0.0000
2 Nb 0.5000 0.5000 0.5000
3 Ru 0.0000 0.0000 0.5000
4 Ru 0.5000 0.0000 0.0000
5 Cd 0.0000 0.0000 0.0000

Properties
- magnetic moment (μB/cell) = 0.873
- total DFT energy (no corrections) (eV/atom) = -4.697
- E_form (uncorrected) (meV per atom) = 2035


7.
Material: ScNbCd2Ru
Method: DFT, PBE-GGA
State: relaxed

Unit cell a=5.0963 b=4.5762 c=5.0963 alpha=90.00 beta=90.00 gamma=90.00
Fractional positions:
1 Sc 0.0000 0.5000 0.0000
2 Ru 0.0000 0.0000 0.0000
3 Nb 0.5000 0.5000 0.5000
4 Cd 0.0000 0.0000 0.5000
5 Cd 0.5000 0.0000 0.0000

Properties
- magnetic moment (μB/cell) = 0.001
- formation energy (eV per atom) = 0.86
- total DFT energy (no corrections) (eV/atom) = -4.642


8.
Material: NbCdSn2Ru
Method: DFT, PBE-GGA
State: relaxed

Unit cell a=5.2764 b=5.3188 c=5.2764 alpha=90.00 beta=90.00 gamma=90.00
Fractional positions:
1 Ru 0.5000 0.5000 0.5000
2 Nb 0.0000 0.0000 0.0000
3 Sn 0.0000 0.0000 0.5000
4 Sn 0.5000 0.0000 0.0000
5 Cd 0.0000 0.5000 0.0000

Properties
- magnetic moment (μB/cell) = 2.517
- formation energy (eV per atom) = 1.33
- total DFT energy (no corrections) (eV/atom) = -4.321